1.
Entry from Alexandria: a relaxed Rb3PmTm2Te6 crystal (PBE-GGA).

a = 7.847 Å, b = 7.847 Å, c = 8.945 Å
α = 98.42°, β = 98.42°, γ = 120.00°
Atoms (fractional coordinates):
Rb: 0.000 0.000 0.000
Rb: 0.336 0.664 0.000
Rb: 0.664 0.336 0.000
Pm: 0.500 0.500 0.500
Tm: 0.167 0.833 0.500
Tm: 0.833 0.167 0.500
Te: 0.091 0.433 0.301
Te: 0.224 0.224 0.698
Te: 0.433 0.091 0.301
Te: 0.567 0.909 0.699
Te: 0.776 0.776 0.302
Te: 0.909 0.567 0.699

Output
volume	456	Å³/f.u.
formation energy from raw total energies	-132	kJ per mole of atoms
DFT total energy	-51.91	eV for the cell shown
theoretical density	5.5	g/cm³

***

2.
Entry from Alexandria: a relaxed Rb3Na4Pb crystal (PBE-GGA).

a = 8.231 Å, b = 8.231 Å, c = 8.231 Å
α = 125.52°, β = 98.74°, γ = 105.50°
Atoms (fractional coordinates):
Rb: 0.000 0.000 0.000
Rb: 0.037 0.727 0.310
Rb: 0.417 0.727 0.690
Na: 0.157 0.357 0.800
Na: 0.557 0.357 0.200
Na: 0.603 0.331 0.728
Na: 0.603 0.875 0.272
Pb: 0.882 0.382 0.500

Output
volume	403	Å³/f.u.
Fermi-level density of states	3.51	states/eV/cell
DFT total energy	-11.95	eV for the cell shown
theoretical density	2.3	g/cm³

***

3.
Entry from Alexandria: a relaxed Tb2Sm6ErTm3 crystal (PBE-GGA).

a = 6.195 Å, b = 6.195 Å, c = 11.757 Å
α = 95.02°, β = 95.02°, γ = 119.98°
Atoms (fractional coordinates):
Tb: 0.167 0.833 0.000
Tb: 0.833 0.167 0.000
Sm: 0.083 0.416 0.748
Sm: 0.251 0.251 0.252
Sm: 0.416 0.083 0.748
Sm: 0.584 0.917 0.252
Sm: 0.749 0.749 0.748
Sm: 0.917 0.584 0.252
Er: 0.500 0.500 0.000
Tm: 0.000 0.000 0.500
Tm: 0.333 0.667 0.500
Tm: 0.667 0.333 0.500

Output
volume	385	Å³/f.u.
Fermi-level density of states	13.82	states/eV/cell
DFT total energy	-55.36	eV for the cell shown
theoretical density	8.2	g/cm³

***

4.
Entry from Alexandria: a relaxed Be2InAsCl crystal (PBE-GGA).

a = 4.582 Å, b = 4.582 Å, c = 5.547 Å
α = 90.00°, β = 90.00°, γ = 90.00°
Atoms (fractional coordinates):
Be: 0.000 0.500 0.000
Be: 0.500 0.000 0.000
In: 0.000 0.000 0.000
As: 0.500 0.500 0.500
Cl: 0.000 0.000 0.500

Output
volume	116	Å³/f.u.
formation energy from raw total energies	97	kJ per mole of atoms
Fermi-level density of states	3.64	states/eV/cell
DFT total energy	-11.66	eV for the cell shown
theoretical density	3.5	g/cm³

***

5.
Entry from Alexandria: a relaxed LiPmNd crystal (PBE-GGA).

a = 6.878 Å, b = 6.878 Å, c = 6.878 Å
α = 148.19°, β = 148.19°, γ = 45.60°
Atoms (fractional coordinates):
Li: 0.000 0.000 0.000
Pm: 0.652 0.652 0.000
Nd: 0.346 0.346 0.000

Output
volume	90	Å³/f.u.
Fermi-level density of states	4.55	states/eV/cell
DFT total energy	-11.19	eV for the cell shown
theoretical density	5.5	g/cm³

***

6.
Entry from Alexandria: a relaxed HgHF4 crystal (PBE-GGA).

a = 7.178 Å, b = 7.178 Å, c = 6.262 Å
α = 96.39°, β = 96.39°, γ = 136.77°
Atoms (fractional coordinates):
Hg: 0.065 0.935 0.750
Hg: 0.935 0.065 0.250
H: 0.324 0.676 0.250
H: 0.676 0.324 0.750
F: 0.096 0.452 0.172
F: 0.161 0.270 0.587
F: 0.270 0.161 0.087
F: 0.452 0.096 0.672
F: 0.548 0.904 0.328
F: 0.730 0.839 0.913
F: 0.839 0.730 0.413
F: 0.904 0.548 0.828

Output
volume	105	Å³/f.u.
Fermi-level density of states	6.22	states/eV/cell
DFT total energy	-36.71	eV for the cell shown
theoretical density	4.4	g/cm³

***

7.
Entry from Alexandria: a relaxed Pr8RuRh3Br4 crystal (PBE-GGA).

a = 9.254 Å, b = 9.254 Å, c = 9.254 Å
α = 53.09°, β = 53.09°, γ = 53.09°
Atoms (fractional coordinates):
Pr: 0.232 0.232 0.232
Pr: 0.237 0.730 0.730
Pr: 0.270 0.270 0.763
Pr: 0.270 0.763 0.270
Pr: 0.730 0.237 0.730
Pr: 0.730 0.730 0.237
Pr: 0.763 0.270 0.270
Pr: 0.768 0.768 0.768
Ru: 0.500 0.500 0.500
Rh: 0.000 0.000 0.500
Rh: 0.000 0.500 0.000
Rh: 0.500 0.000 0.000
Br: 0.000 0.000 0.000
Br: 0.000 0.500 0.500
Br: 0.500 0.000 0.500
Br: 0.500 0.500 0.000

Output
volume	470	Å³/f.u.
formation energy from raw total energies	-96	kJ per mole of atoms
Fermi-level density of states	6.23	states/eV/cell
DFT total energy	-92.24	eV for the cell shown
theoretical density	6.6	g/cm³

***

8.
Entry from Alexandria: a relaxed La3Ge8Os3 crystal (PBE-GGA).

a = 8.411 Å, b = 8.411 Å, c = 8.411 Å
α = 150.49°, β = 100.28°, γ = 87.20°
Atoms (fractional coordinates):
La: 0.000 0.000 0.000
La: 0.318 0.318 0.000
La: 0.682 0.682 0.000
Ge: 0.022 0.657 0.365
Ge: 0.177 0.880 0.297
Ge: 0.293 0.657 0.635
Ge: 0.417 0.120 0.297
Ge: 0.583 0.880 0.703
Ge: 0.707 0.343 0.365
Ge: 0.823 0.120 0.703
Ge: 0.978 0.343 0.635
Os: 0.293 0.500 0.793
Os: 0.500 0.000 0.500
Os: 0.707 0.500 0.207

Output
volume	281	Å³/f.u.
Fermi-level density of states	5.95	states/eV/cell
DFT total energy	-89.94	eV for the cell shown
theoretical density	9.3	g/cm³

***

9.
Entry from Alexandria: a relaxed BaLaP2Se8 crystal (PBE-GGA).

a = 6.341 Å, b = 6.341 Å, c = 9.989 Å
α = 90.00°, β = 90.00°, γ = 120.00°
Atoms (fractional coordinates):
Ba: 0.000 0.000 0.000
La: 0.000 0.000 0.500
P: 0.333 0.667 0.764
P: 0.667 0.333 0.236
Se: 0.026 0.651 0.300
Se: 0.333 0.667 0.986
Se: 0.349 0.375 0.300
Se: 0.375 0.026 0.700
Se: 0.625 0.974 0.300
Se: 0.651 0.625 0.700
Se: 0.667 0.333 0.014
Se: 0.974 0.349 0.700

Output
volume	348	Å³/f.u.
formation energy from raw total energies	-70	kJ per mole of atoms
Fermi-level density of states	10.18	states/eV/cell
DFT total energy	-54.26	eV for the cell shown
theoretical density	4.6	g/cm³

***

10.
Entry from Alexandria: a relaxed ScGaSn crystal (PBE-GGA).

a = 7.591 Å, b = 7.591 Å, c = 4.110 Å
α = 90.00°, β = 90.00°, γ = 147.30°
Atoms (fractional coordinates):
Sc: 0.087 0.913 0.750
Sc: 0.913 0.087 0.250
Ga: 0.443 0.557 0.750
Ga: 0.557 0.443 0.250
Sn: 0.256 0.744 0.250
Sn: 0.744 0.256 0.750

Output
volume	64	Å³/f.u.
Fermi-level density of states	3.44	states/eV/cell
DFT total energy	-29.38	eV for the cell shown
theoretical density	6.1	g/cm³

***

11.
Entry from Alexandria: a relaxed SrLiSeBr2 crystal (PBE-GGA).

a = 5.041 Å, b = 5.041 Å, c = 5.184 Å
α = 90.00°, β = 90.00°, γ = 90.00°
Atoms (fractional coordinates):
Sr: 0.000 0.000 0.000
Li: 0.500 0.500 0.500
Se: 0.500 0.500 0.000
Br: 0.000 0.500 0.500
Br: 0.500 0.000 0.500

Output
volume	132	Å³/f.u.
formation energy from raw total energies	-121	kJ per mole of atoms
Fermi-level density of states	3.60	states/eV/cell
DFT total energy	-16.72	eV for the cell shown
theoretical density	4.2	g/cm³

***

12.
Entry from Alexandria: a relaxed MnMoSe crystal (PBE-GGA).

a = 5.246 Å, b = 5.246 Å, c = 5.246 Å
α = 147.34°, β = 147.34°, γ = 46.86°
Atoms (fractional coordinates):
Mn: 0.000 0.000 0.000
Mo: 0.678 0.678 0.000
Se: 0.354 0.354 0.000

Output
volume	42	Å³/f.u.
formation energy from raw total energies	20	kJ per mole of atoms
Fermi-level density of states	2.24	states/eV/cell
DFT total energy	-22.88	eV for the cell shown
theoretical density	9.1	g/cm³

***

13.
Entry from Alexandria: a relaxed TaTiCu4 crystal (PBE-GGA).

a = 4.897 Å, b = 4.897 Å, c = 4.897 Å
α = 60.00°, β = 60.00°, γ = 60.00°
Atoms (fractional coordinates):
Ta: 0.000 0.000 0.000
Ti: 0.250 0.250 0.250
Cu: 0.126 0.625 0.625
Cu: 0.625 0.126 0.625
Cu: 0.625 0.625 0.126
Cu: 0.625 0.625 0.625

Output
volume	83	Å³/f.u.
Fermi-level density of states	6.55	states/eV/cell
DFT total energy	-35.77	eV for the cell shown
theoretical density	9.7	g/cm³

***

14.
Entry from Alexandria: a relaxed LiSmAl4 crystal (PBE-GGA).

a = 5.576 Å, b = 5.576 Å, c = 8.874 Å
α = 90.00°, β = 90.00°, γ = 120.00°
Atoms (fractional coordinates):
Li: 0.333 0.667 0.447
Li: 0.667 0.333 0.553
Sm: 0.333 0.667 0.076
Sm: 0.667 0.333 0.924
Al: 0.000 0.000 0.000
Al: 0.000 0.000 0.500
Al: 0.171 0.342 0.746
Al: 0.171 0.829 0.746
Al: 0.342 0.171 0.254
Al: 0.658 0.829 0.746
Al: 0.829 0.171 0.254
Al: 0.829 0.658 0.254

Output
volume	119	Å³/f.u.
Fermi-level density of states	5.28	states/eV/cell
DFT total energy	-46.55	eV for the cell shown
theoretical density	3.7	g/cm³

***

15.
Entry from Alexandria: a relaxed Ta2Ru2W crystal (PBE-GGA).

a = 7.421 Å, b = 7.421 Å, c = 3.000 Å
α = 90.00°, β = 90.00°, γ = 90.00°
Atoms (fractional coordinates):
Ta: 0.167 0.333 0.000
Ta: 0.333 0.833 0.000
Ta: 0.667 0.167 0.000
Ta: 0.833 0.667 0.000
Ru: 0.134 0.634 0.500
Ru: 0.366 0.134 0.500
Ru: 0.634 0.866 0.500
Ru: 0.866 0.366 0.500
W: 0.000 0.000 0.500
W: 0.500 0.500 0.500

Output
volume	83	Å³/f.u.
Fermi-level density of states	12.42	states/eV/cell
DFT total energy	-109.73	eV for the cell shown
theoretical density	15.0	g/cm³

***

16.
Entry from Alexandria: a relaxed NaMn3Zn crystal (PBE-GGA).

a = 4.712 Å, b = 4.712 Å, c = 4.712 Å
α = 90.00°, β = 90.00°, γ = 90.00°
Atoms (fractional coordinates):
Na: 0.000 0.000 0.000
Mn: 0.000 0.000 0.500
Mn: 0.000 0.500 0.000
Mn: 0.500 0.000 0.000
Zn: 0.500 0.500 0.500

Output
volume	105	Å³/f.u.
Fermi-level density of states	5.79	states/eV/cell
DFT total energy	-21.65	eV for the cell shown
theoretical density	4.0	g/cm³

***

17.
Entry from Alexandria: a relaxed CsCrTe3As crystal (PBE-GGA).

a = 10.050 Å, b = 3.996 Å, c = 11.479 Å
α = 90.00°, β = 115.50°, γ = 90.00°
Atoms (fractional coordinates):
Cs: 0.226 0.250 0.274
Cs: 0.774 0.750 0.726
Cr: 0.386 0.750 0.836
Cr: 0.614 0.250 0.164
Te: 0.175 0.250 0.777
Te: 0.361 0.750 0.596
Te: 0.404 0.750 0.081
Te: 0.596 0.250 0.919
Te: 0.639 0.250 0.404
Te: 0.825 0.750 0.223
As: 0.091 0.250 0.525
As: 0.909 0.750 0.475

Output
volume	208	Å³/f.u.
formation energy from raw total energies	-33	kJ per mole of atoms
Fermi-level density of states	3.39	states/eV/cell
DFT total energy	-53.27	eV for the cell shown
theoretical density	5.1	g/cm³

***

18.
Entry from Alexandria: a relaxed MoP2Ru crystal (PBE-GGA).

a = 4.201 Å, b = 4.201 Å, c = 4.201 Å
α = 60.00°, β = 60.00°, γ = 60.00°
Atoms (fractional coordinates):
Mo: 0.000 0.000 0.000
P: 0.250 0.250 0.250
P: 0.750 0.750 0.750
Ru: 0.500 0.500 0.500

Output
volume	52	Å³/f.u.
Fermi-level density of states	1.89	states/eV/cell
DFT total energy	-32.32	eV for the cell shown
theoretical density	8.2	g/cm³

***

19.
Entry from Alexandria: a relaxed MnAuCl2 crystal (PBE-GGA).

a = 4.784 Å, b = 4.784 Å, c = 4.784 Å
α = 60.00°, β = 60.00°, γ = 60.00°
Atoms (fractional coordinates):
Mn: 0.000 0.000 0.000
Au: 0.750 0.750 0.750
Cl: 0.250 0.250 0.250
Cl: 0.500 0.500 0.500

Output
volume	77	Å³/f.u.
formation energy from raw total energies	15	kJ per mole of atoms
Fermi-level density of states	2.56	states/eV/cell
DFT total energy	-15.54	eV for the cell shown
theoretical density	6.9	g/cm³

***

20.
Entry from Alexandria: a relaxed OsAu crystal (PBE-GGA).

a = 6.850 Å, b = 6.850 Å, c = 6.850 Å
α = 109.47°, β = 109.47°, γ = 109.47°
Atoms (fractional coordinates):
Os: 0.000 0.000 0.774
Os: 0.000 0.774 0.000
Os: 0.226 0.226 0.226
Os: 0.774 0.000 0.000
Au: 0.000 0.000 0.410
Au: 0.000 0.410 0.000
Au: 0.410 0.000 0.000
Au: 0.590 0.590 0.590

Output
volume	62	Å³/f.u.
Fermi-level density of states	11.76	states/eV/cell
DFT total energy	-44.56	eV for the cell shown
theoretical density	10.4	g/cm³